Record 1
First-principles (GGA-PBEsol) data for NbAl2F after structural relaxation, as listed in Alexandria via LeMat-Bulk.

```
NbAl2F
1.0
5.479 0.005 0.008
-2.051 5.080 -0.008
-2.051 -2.316 4.522
Nb Al F
2 4 2
Cartesian
0.689 3.234 1.128
0.000 0.000 0.000
3.663 2.479 0.568
-1.261 -0.401 2.825
1.479 0.852 2.063
-1.127 2.609 3.587
0.689 -0.464 3.394
-2.051 1.382 2.257
```

Results
energy relative to the elements, uncorrected	-0.42	eV/atom

---

Record 2
First-principles (GGA-PBEsol) data for Tc24Mo5 after structural relaxation, as listed in Alexandria via LeMat-Bulk.

```
Tc24Mo5
1.0
-6.323 -4.466 2.586
1.013 -1.108 -8.022
6.760 -2.318 3.942
Tc Mo
24 5
Cartesian
2.722 -1.080 -0.074
-0.311 -5.803 -0.438
1.104 -5.156 -2.483
-2.073 -4.285 0.562
-0.841 -1.275 -2.499
2.870 -3.319 -1.714
0.865 -2.940 -3.685
-2.168 -1.883 -0.581
1.307 -1.727 1.972
-1.839 -2.545 -4.449
5.131 -3.572 -2.826
0.549 -4.381 1.642
2.090 -3.372 3.730
-3.917 -3.496 -1.444
-3.063 -4.918 -3.675
0.536 -5.676 3.817
3.166 -3.424 1.105
1.682 -0.861 -2.238
-1.616 -3.981 3.346
-1.059 -2.116 1.726
2.212 -5.389 -0.176
5.027 -2.028 -0.517
3.399 -1.685 -3.906
-1.269 -3.999 -2.143
-4.027 -2.844 1.647
0.527 -2.865 -0.543
0.000 0.000 0.000
4.305 -1.476 2.510
0.645 -0.705 -5.109
```

Results
calculated formation energy	0.017	eV/atom

---

Record 3
First-principles (GGA-PBEsol) data for LiCrPt2 after structural relaxation, as listed in Alexandria via LeMat-Bulk.

```
LiCrPt2
1.0
2.702 0.000 0.000
1.351 2.340 0.000
1.351 0.780 8.647
Li Pt Cr
1 2 1
Cartesian
0.000 0.000 0.000
4.054 2.340 6.432
1.351 0.780 2.215
2.702 1.560 4.324
```

Results
calculated formation energy	-0.191	eV/atom

---

Record 4
First-principles (GGA-PBEsol) data for PrScGe after structural relaxation, as listed in Alexandria via LeMat-Bulk.

```
PrScGe
1.0
-3.761 -1.913 0.721
0.819 -2.793 -3.139
4.945 -2.503 6.437
Ge Sc Pr
2 2 2
Cartesian
1.156 -6.026 2.745
0.847 -1.184 1.275
-1.880 -0.957 0.361
0.410 -1.397 -1.569
-0.243 -4.070 0.639
2.246 -3.140 3.381
```

Results
calculated formation energy	-0.738	eV/atom

---

Record 5
First-principles (GGA-PBEsol) data for Na4NpO5 after structural relaxation, as listed in Alexandria via LeMat-Bulk.

```
Na4NpO5
1.0
-3.619 -0.404 2.769
1.394 -1.780 5.342
-1.204 4.868 2.916
O Na Np
5 4 1
Cartesian
-1.810 -0.202 1.385
-0.834 2.910 3.113
-2.595 -0.226 7.914
-0.977 2.708 6.676
-2.452 -0.024 4.351
-3.034 2.508 7.737
-0.394 0.176 3.290
-0.813 0.382 6.552
-2.616 2.302 4.475
0.000 0.000 0.000
```

Results
energy relative to the elements, uncorrected	-2.19	eV/atom

---

Record 6
First-principles (GGA-PBEsol) data for BaTcW after structural relaxation, as listed in Alexandria via LeMat-Bulk.

```
BaTcW
1.0
-1.399 -2.945 -3.253
-0.712 -4.427 1.053
-4.287 -1.682 0.105
Tc Ba W
1 1 1
Cartesian
-1.599 -2.263 -0.524
-3.199 -4.527 -1.047
0.000 0.000 0.000
```

Results
calculated formation energy	1.617	eV/atom

---

Record 7
First-principles (GGA-PBEsol) data for Cs3CrGe after structural relaxation, as listed in Alexandria via LeMat-Bulk.

```
Cs3CrGe
1.0
6.746 0.000 0.000
0.000 6.746 0.000
0.000 0.000 6.746
Cs Cr Ge
3 1 1
Cartesian
3.373 0.000 0.000
0.000 3.373 0.000
0.000 0.000 3.373
0.000 0.000 0.000
3.373 3.373 3.373
```

Results
calculated formation energy	1.053	eV/atom

---

Record 8
First-principles (GGA-PBEsol) data for Mg2Ga5 after structural relaxation, as listed in Alexandria via LeMat-Bulk.

```
Mg2Ga5
1.0
6.997 0.003 0.000
-3.389 6.122 0.000
-1.804 -3.062 6.028
Mg Ga
4 10
Cartesian
-0.267 4.282 0.000
3.875 1.842 0.000
0.000 0.000 3.623
1.804 3.062 2.404
2.575 4.371 0.000
-0.894 2.018 1.795
-0.395 2.866 4.233
2.199 0.196 1.795
4.299 -1.041 4.233
4.798 -0.194 1.795
1.033 1.753 0.000
-2.495 4.103 1.795
-2.994 3.256 4.233
2.698 1.044 4.233
```

Results
calculated formation energy	-0.143	eV/atom

---

Record 9
First-principles (GGA-PBEsol) data for TaTeBr2 after structural relaxation, as listed in Alexandria via LeMat-Bulk.

```
TaTeBr2
1.0
3.222 0.000 0.000
0.000 4.978 0.000
-1.611 -2.489 6.642
Br Te Ta
2 1 1
Cartesian
1.611 2.489 4.510
0.000 0.000 2.131
0.000 2.489 0.000
1.611 0.000 0.000
```

Results
energy relative to the elements, uncorrected	-0.21	eV/atom

---

Record 10
First-principles (GGA-PBEsol) data for B2Ir2Au after structural relaxation, as listed in Alexandria via LeMat-Bulk.

```
B2Ir2Au
1.0
-1.882 -0.476 -1.830
1.538 -6.499 0.110
-4.477 -0.977 4.859
Ir B Au
4 4 2
Cartesian
-3.287 -3.157 4.203
-1.561 -6.197 3.219
-1.378 -1.279 1.750
0.349 -4.319 0.766
-3.788 -5.254 3.320
-1.221 -6.157 0.914
-1.032 -2.698 -0.181
-3.600 -1.796 2.226
-1.469 -3.738 2.485
0.000 0.000 0.000
```

Results
calculated formation energy	0.334	eV/atom

---

Record 11
First-principles (GGA-PBEsol) data for MgGeB2 after structural relaxation, as listed in Alexandria via LeMat-Bulk.

```
MgGeB2
1.0
4.078 0.000 0.000
2.039 3.531 0.000
2.039 1.177 3.329
Ge Mg B
1 1 2
Cartesian
4.078 2.354 1.665
0.000 0.000 0.000
2.039 1.177 0.832
6.116 3.531 2.497
```

Results
calculated formation energy	1.098	eV/atom

---

Record 12
First-principles (GGA-PBEsol) data for AsIO2F after structural relaxation, as listed in Alexandria via LeMat-Bulk.

```
AsIO2F
1.0
-3.241 -2.217 -1.041
2.488 -3.016 -1.324
-0.051 -1.694 3.764
O As I F
2 1 1 1
Cartesian
1.244 -1.508 -0.662
-0.025 -0.847 1.882
0.000 0.000 0.000
-0.402 -3.463 0.700
-1.620 -1.108 -0.521
```

Results
energy relative to the elements, uncorrected	-0.38	eV/atom

---

no.,E (eV/atom),mass density (g/cm³)
1,-5.653,4.4
2,-11.336,11.2
3,-6.725,13.6
4,-6.315,5.9
5,-6.762,5.2
6,-7.457,10.1
7,-2.549,2.8
8,-3.019,5.1
9,-5.161,7.3
10,-7.187,16.8
11,-4.074,4.1
12,-4.242,6.1